(1)
# Tm6Sc2Zn | Alexandria via LeMat-Bulk | PBE-GGA | relaxed
# ΔH_f (0 K), eV/atom: 0.005
# Symmetry: P4_2/mnm, No. 136
data_Tm6Sc2Zn
_symmetry_space_group_name_H-M 'P 1'
_symmetry_Int_Tables_number 1
_cell_length_a 9.774
_cell_length_b 9.774
_cell_length_c 5.141
_cell_angle_alpha 90.00
_cell_angle_beta 90.00
_cell_angle_gamma 90.00
loop_
_symmetry_equiv_pos_as_xyz
'x,y,z'
loop_
_atom_site_label
_atom_site_type_symbol
_atom_site_fract_x
_atom_site_fract_y
_atom_site_fract_z
_atom_site_occupancy
Tm1 Tm 0.040 0.313 0.000 1
Tm2 Tm 0.122 0.878 0.500 1
Tm3 Tm 0.187 0.540 0.500 1
Tm4 Tm 0.313 0.040 0.000 1
Tm5 Tm 0.378 0.378 0.000 1
Tm6 Tm 0.460 0.813 0.500 1
Tm7 Tm 0.540 0.187 0.500 1
Tm8 Tm 0.622 0.622 0.000 1
Tm9 Tm 0.687 0.960 0.000 1
Tm10 Tm 0.813 0.460 0.500 1
Tm11 Tm 0.878 0.122 0.500 1
Tm12 Tm 0.960 0.687 0.000 1
Sc1 Sc 0.212 0.212 0.500 1
Sc2 Sc 0.288 0.712 0.000 1
Sc3 Sc 0.712 0.288 0.000 1
Sc4 Sc 0.788 0.788 0.500 1
Zn1 Zn 0.000 0.000 0.000 1
Zn2 Zn 0.500 0.500 0.500 1

---

(2)
# K2Ni2Hg | Alexandria via LeMat-Bulk | PBE-GGA | relaxed
# ΔH_f (0 K), eV/atom: 0.525
# Distance to the lowest polymorph of the same formula, eV per atom: 0.1627
# Symmetry: I4/mmm, No. 139
data_K2Ni2Hg
_symmetry_space_group_name_H-M 'P 1'
_symmetry_Int_Tables_number 1
_cell_length_a 5.818
_cell_length_b 5.818
_cell_length_c 5.818
_cell_angle_alpha 113.78
_cell_angle_beta 113.78
_cell_angle_gamma 101.17
loop_
_symmetry_equiv_pos_as_xyz
'x,y,z'
loop_
_atom_site_label
_atom_site_type_symbol
_atom_site_fract_x
_atom_site_fract_y
_atom_site_fract_z
_atom_site_occupancy
K1 K 0.250 0.750 0.500 1
K2 K 0.750 0.250 0.500 1
Ni1 Ni 0.151 0.151 0.000 1
Ni2 Ni 0.849 0.849 0.000 1
Hg1 Hg 0.500 0.500 0.000 1

---

(3)
# SrMgO2 | Alexandria via LeMat-Bulk | PBE-GGA | relaxed
# Symmetry: R-3m, No. 166
# Formation energy (no corrections), kcal/mol of atoms: -50.2
data_SrMgO2
_symmetry_space_group_name_H-M 'P 1'
_symmetry_Int_Tables_number 1
_cell_length_a 6.607
_cell_length_b 6.607
_cell_length_c 6.607
_cell_angle_alpha 32.91
_cell_angle_beta 32.91
_cell_angle_gamma 32.91
loop_
_symmetry_equiv_pos_as_xyz
'x,y,z'
loop_
_atom_site_label
_atom_site_type_symbol
_atom_site_fract_x
_atom_site_fract_y
_atom_site_fract_z
_atom_site_occupancy
Sr1 Sr 0.000 0.000 0.000 1
Mg1 Mg 0.500 0.500 0.500 1
O1 O 0.403 0.403 0.403 1
O2 O 0.597 0.597 0.597 1

---

(4)
# CePmGa2Pd2 | Alexandria via LeMat-Bulk | PBE-GGA | relaxed
# ΔH_f (0 K), eV/atom: -0.791
# Symmetry: P-3m1, No. 164
data_CePmGa2Pd2
_symmetry_space_group_name_H-M 'P 1'
_symmetry_Int_Tables_number 1
_cell_length_a 4.559
_cell_length_b 4.559
_cell_length_c 6.995
_cell_angle_alpha 90.00
_cell_angle_beta 90.00
_cell_angle_gamma 120.00
loop_
_symmetry_equiv_pos_as_xyz
'x,y,z'
loop_
_atom_site_label
_atom_site_type_symbol
_atom_site_fract_x
_atom_site_fract_y
_atom_site_fract_z
_atom_site_occupancy
Ce1 Ce 0.000 0.000 0.000 1
Pm1 Pm 0.000 0.000 0.500 1
Ga1 Ga 0.333 0.667 0.753 1
Ga2 Ga 0.667 0.333 0.247 1
Pd1 Pd 0.333 0.667 0.245 1
Pd2 Pd 0.667 0.333 0.755 1

---

(5)
# LuMgGeAu | Alexandria via LeMat-Bulk | PBE-GGA | relaxed
# ΔH_f (0 K), eV/atom: -0.631
# Symmetry: F-43m, No. 216
data_LuMgGeAu
_symmetry_space_group_name_H-M 'P 1'
_symmetry_Int_Tables_number 1
_cell_length_a 4.854
_cell_length_b 4.854
_cell_length_c 4.854
_cell_angle_alpha 60.00
_cell_angle_beta 60.00
_cell_angle_gamma 60.00
loop_
_symmetry_equiv_pos_as_xyz
'x,y,z'
loop_
_atom_site_label
_atom_site_type_symbol
_atom_site_fract_x
_atom_site_fract_y
_atom_site_fract_z
_atom_site_occupancy
Lu1 Lu 0.000 0.000 0.000 1
Mg1 Mg 0.500 0.500 0.500 1
Ge1 Ge 0.750 0.750 0.750 1
Au1 Au 0.250 0.250 0.250 1

---

(6)
# Li3YRh2 | Alexandria via LeMat-Bulk | PBE-GGA | relaxed
# ΔH_f (0 K), eV/atom: -0.322
# Symmetry: C2/m, No. 12
data_Li3YRh2
_symmetry_space_group_name_H-M 'P 1'
_symmetry_Int_Tables_number 1
_cell_length_a 6.900
_cell_length_b 6.900
_cell_length_c 8.249
_cell_angle_alpha 116.62
_cell_angle_beta 116.62
_cell_angle_gamma 35.17
loop_
_symmetry_equiv_pos_as_xyz
'x,y,z'
loop_
_atom_site_label
_atom_site_type_symbol
_atom_site_fract_x
_atom_site_fract_y
_atom_site_fract_z
_atom_site_occupancy
Li1 Li 0.057 0.057 0.382 1
Li2 Li 0.276 0.276 0.448 1
Li3 Li 0.421 0.421 0.317 1
Li4 Li 0.579 0.579 0.683 1
Li5 Li 0.724 0.724 0.552 1
Li6 Li 0.943 0.943 0.618 1
Y1 Y 0.141 0.141 0.019 1
Y2 Y 0.859 0.859 0.981 1
Rh1 Rh 0.210 0.210 0.738 1
Rh2 Rh 0.431 0.431 0.819 1
Rh3 Rh 0.569 0.569 0.181 1
Rh4 Rh 0.790 0.790 0.262 1

---

(7)
# CoBOs3 | Alexandria via LeMat-Bulk | PBE-GGA | relaxed
# ΔH_f (0 K), eV/atom: 2.719
# Distance to the lowest polymorph of the same formula, eV per atom: 2.1886
# Symmetry: Pm-3m, No. 221
data_CoBOs3
_symmetry_space_group_name_H-M 'P 1'
_symmetry_Int_Tables_number 1
_cell_length_a 4.377
_cell_length_b 4.377
_cell_length_c 4.377
_cell_angle_alpha 90.00
_cell_angle_beta 90.00
_cell_angle_gamma 90.00
loop_
_symmetry_equiv_pos_as_xyz
'x,y,z'
loop_
_atom_site_label
_atom_site_type_symbol
_atom_site_fract_x
_atom_site_fract_y
_atom_site_fract_z
_atom_site_occupancy
Co1 Co 0.000 0.000 0.000 1
B1 B 0.500 0.500 0.500 1
Os1 Os 0.000 0.000 0.500 1
Os2 Os 0.000 0.500 0.000 1
Os3 Os 0.500 0.000 0.000 1

---

(8)
# LiW2I2 | Alexandria via LeMat-Bulk | PBE-GGA | relaxed
# Distance to the lowest polymorph of the same formula, eV per atom: 0.5621
# Symmetry: P4/mbm, No. 127
# Formation energy (no corrections), kcal/mol of atoms: 29.9
data_LiW2I2
_symmetry_space_group_name_H-M 'P 1'
_symmetry_Int_Tables_number 1
_cell_length_a 8.352
_cell_length_b 8.352
_cell_length_c 3.313
_cell_angle_alpha 90.00
_cell_angle_beta 90.00
_cell_angle_gamma 90.00
loop_
_symmetry_equiv_pos_as_xyz
'x,y,z'
loop_
_atom_site_label
_atom_site_type_symbol
_atom_site_fract_x
_atom_site_fract_y
_atom_site_fract_z
_atom_site_occupancy
Li1 Li 0.000 0.000 0.000 1
Li2 Li 0.500 0.500 0.000 1
W1 W 0.101 0.399 0.500 1
W2 W 0.399 0.899 0.500 1
W3 W 0.601 0.101 0.500 1
W4 W 0.899 0.601 0.500 1
I1 I 0.196 0.696 0.000 1
I2 I 0.304 0.196 0.000 1
I3 I 0.696 0.804 0.000 1
I4 I 0.804 0.304 0.000 1

---

Taking the records one at a time from the top gives V values of 246 149 76 126 81 100 84 116 Å³/f.u..